Record 1
First-principles (GGA-PBE) data for a geometry-optimized RuPt2Rh4 structure, as listed in the Alexandria database.

Calculated values
DFT formation energy   83 meV per atom
ΔE to the lowest computed polymorph   0.000 eV/f.u.

Unit cell a=16.432 b=16.432 c=16.432 alpha=9.49 beta=9.49 gamma=9.49
Atoms (fractional coordinates):
Ru 0.000 0.000 0.000
Pt 0.236 0.236 0.236
Pt 0.764 0.764 0.764
Rh 0.144 0.144 0.144
Rh 0.290 0.290 0.290
Rh 0.710 0.710 0.710
Rh 0.856 0.856 0.856

---

Record 2
First-principles (GGA-PBE) data for a geometry-optimized Ru2PtRh structure, as listed in the Alexandria database.

Calculated values
DFT formation energy   34 meV per atom
ΔE to the lowest computed polymorph   0.189 eV/f.u.

Unit cell a=2.727 b=2.727 c=15.599 alpha=90.00 beta=90.00 gamma=90.00
Atoms (fractional coordinates):
Ru 0.250 0.250 0.056
Ru 0.250 0.250 0.305
Ru 0.750 0.750 0.695
Ru 0.750 0.750 0.944
Pt 0.250 0.250 0.569
Pt 0.750 0.750 0.431
Rh 0.250 0.250 0.813
Rh 0.750 0.750 0.187

---

Record 3
First-principles (GGA-PBE) data for a geometry-optimized RuPtRh2 structure, as listed in the Alexandria database.

Calculated values
DFT formation energy   -6 meV per atom
ΔE to the lowest computed polymorph   0.148 eV/f.u.

Unit cell a=3.858 b=3.858 c=7.760 alpha=90.00 beta=90.00 gamma=90.00
Atoms (fractional coordinates):
Ru 0.000 0.000 0.000
Ru 0.500 0.500 0.500
Pt 0.000 0.000 0.500
Pt 0.500 0.500 0.000
Rh 0.000 0.500 0.250
Rh 0.000 0.500 0.750
Rh 0.500 0.000 0.250
Rh 0.500 0.000 0.750

---

Record 4
First-principles (GGA-PBE) data for a geometry-optimized Ru2Pt3Rh7 structure, as listed in the Alexandria database.

Calculated values
DFT formation energy   112 meV per atom

Unit cell a=4.886 b=2.707 c=13.465 alpha=90.00 beta=97.14 gamma=90.00
Atoms (fractional coordinates):
Ru 0.058 0.000 0.171
Ru 0.942 0.000 0.829
Pt 0.449 0.500 0.835
Pt 0.500 0.000 0.500
Pt 0.551 0.500 0.165
Rh 0.000 0.500 0.500
Rh 0.223 0.000 0.666
Rh 0.251 0.000 0.000
Rh 0.265 0.500 0.331
Rh 0.735 0.500 0.669
Rh 0.749 0.000 0.000
Rh 0.777 0.000 0.334

---

Record 5
First-principles (GGA-PBE) data for a geometry-optimized Ru3PtRh2 structure, as listed in the Alexandria database.

Calculated values
DFT formation energy   289 meV per atom
ΔE to the lowest computed polymorph   1.739 eV/f.u.

Unit cell a=7.219 b=7.219 c=4.925 alpha=90.00 beta=90.00 gamma=136.25
Atoms (fractional coordinates):
Ru 0.068 0.427 0.750
Ru 0.150 0.850 0.750
Ru 0.427 0.068 0.250
Ru 0.573 0.932 0.750
Ru 0.850 0.150 0.250
Ru 0.932 0.573 0.250
Pt 0.348 0.652 0.250
Pt 0.652 0.348 0.750
Rh 0.245 0.245 0.000
Rh 0.245 0.245 0.500
Rh 0.755 0.755 0.000
Rh 0.755 0.755 0.500

---

Record 6
First-principles (GGA-PBE) data for a geometry-optimized Ru2Pt2Rh7 structure, as listed in the Alexandria database.

Calculated values
DFT formation energy   207 meV per atom
ΔE to the lowest computed polymorph   0.000 eV/f.u.

Unit cell a=5.058 b=5.058 c=6.540 alpha=96.97 beta=96.97 gamma=93.30
Atoms (fractional coordinates):
Ru 0.159 0.159 0.428
Ru 0.841 0.841 0.572
Pt 0.313 0.687 0.500
Pt 0.687 0.313 0.500
Rh 0.000 0.000 0.000
Rh 0.090 0.465 0.807
Rh 0.391 0.391 0.147
Rh 0.465 0.090 0.807
Rh 0.535 0.910 0.193
Rh 0.609 0.609 0.853
Rh 0.910 0.535 0.193